# TbEr3Cl, relaxed, DFT PBE
# - Fermi-level density of states: 6.17 states/eV/f.u.
# - Total magnetization: 0.00 μB per cell
# - Energy relative to the elements, uncorrected: -0.4149 eV per atom
# - Crystal system: cubic
# - Mass density: 8.07 g cm⁻³
data_TbEr3Cl
_chemical_formula_sum 'Tb1 Er3 Cl1'
_cell_length_a 5.2322
_cell_length_b 5.2322
_cell_length_c 5.2322
_cell_angle_alpha 90.00
_cell_angle_beta 90.00
_cell_angle_gamma 90.00
_space_group_name_H-M_alt 'P m -3 m'
_space_group_IT_number 221
_space_group_name_Hall '-P 4 2 3'
loop_
_atom_site_label
_atom_site_type_symbol
_atom_site_fract_x
_atom_site_fract_y
_atom_site_fract_z
Tb1 Tb 0.0000 0.0000 0.0000
Er1 Er 0.0000 0.5000 0.5000
Cl1 Cl 0.5000 0.5000 0.5000



# FeTeSeN2, relaxed, DFT PBE
# - Fermi-level density of states: 5.28 states/eV/f.u.
# - Total magnetization: 3.36 μB per cell
# - Energy relative to the elements, uncorrected: 1.6523 eV per atom
# - Crystal system: tetragonal
# - Mass density: 4.70 g cm⁻³
data_FeTeSeN2
_chemical_formula_sum 'Fe1 Te1 Se1 N2'
_cell_length_a 3.7503
_cell_length_b 3.7503
_cell_length_c 7.2896
_cell_angle_alpha 90.00
_cell_angle_beta 90.00
_cell_angle_gamma 90.00
_space_group_name_H-M_alt 'P 4/m m m'
_space_group_IT_number 123
_space_group_name_Hall '-P 4 2'
loop_
_atom_site_label
_atom_site_type_symbol
_atom_site_fract_x
_atom_site_fract_y
_atom_site_fract_z
Fe1 Fe 0.0000 0.0000 0.0000
Te1 Te 0.5000 0.5000 0.0000
Se1 Se 0.5000 0.5000 0.5000
N1 N 0.0000 0.5000 0.5000



# LaY2PtRh, relaxed, DFT PBE
# - Fermi-level density of states: 4.84 states/eV/f.u.
# - Total magnetization: 0.95 μB per cell
# - Crystal system: tetragonal
# - Mass density: 6.80 g cm⁻³
# - Final energy: -5.1922 eV/atom
data_LaY2PtRh
_chemical_formula_sum 'La1 Y2 Pt1 Rh1'
_cell_length_a 5.5184
_cell_length_b 5.5184
_cell_length_c 4.9272
_cell_angle_alpha 90.00
_cell_angle_beta 90.00
_cell_angle_gamma 90.00
_space_group_name_H-M_alt 'P 4/m m m'
_space_group_IT_number 123
_space_group_name_Hall '-P 4 2'
loop_
_atom_site_label
_atom_site_type_symbol
_atom_site_fract_x
_atom_site_fract_y
_atom_site_fract_z
La1 La 0.0000 0.0000 0.0000
Y1 Y 0.0000 0.5000 0.0000
Pt1 Pt 0.0000 0.0000 0.5000
Rh1 Rh 0.5000 0.5000 0.5000



# ScP2SCl, relaxed, DFT PBE
# - Fermi-level density of states: 4.79 states/eV/f.u.
# - Total magnetization: 0.00 μB per cell
# - Energy relative to the elements, uncorrected: 0.5676 eV per atom
# - Crystal system: tetragonal
# - Mass density: 2.98 g cm⁻³
data_ScP2SCl
_chemical_formula_sum 'Sc1 P2 S1 Cl1'
_cell_length_a 4.5224
_cell_length_b 4.5224
_cell_length_c 4.7603
_cell_angle_alpha 90.00
_cell_angle_beta 90.00
_cell_angle_gamma 90.00
_space_group_name_H-M_alt 'P 4/m m m'
_space_group_IT_number 123
_space_group_name_Hall '-P 4 2'
loop_
_atom_site_label
_atom_site_type_symbol
_atom_site_fract_x
_atom_site_fract_y
_atom_site_fract_z
Sc1 Sc 0.0000 0.0000 0.0000
P1 P 0.0000 0.5000 0.5000
S1 S 0.5000 0.5000 0.0000
Cl1 Cl 0.5000 0.5000 0.5000



# KNdReN3, relaxed, DFT PBE
# - Fermi-level density of states: 2.02 states/eV/f.u.
# - Total magnetization: 0.00 μB per cell
# - Energy relative to the elements, uncorrected: -0.4965 eV per atom
# - Crystal system: monoclinic
# - Mass density: 6.63 g cm⁻³
data_KNdReN3
_chemical_formula_sum 'K4 Nd4 Re4 N12'
_cell_length_a 13.7736
_cell_length_b 3.9433
_cell_length_c 7.8760
_cell_angle_alpha 90.00
_cell_angle_beta 105.35
_cell_angle_gamma 90.00
_space_group_name_H-M_alt 'C 1 2/m 1'
_space_group_IT_number 12
loop_
_space_group_symop_operation_xyz
'x,y,z'
'-x,-y,-z'
'-x,y,-z'
'x,-y,z'
'x+1/2,y+1/2,z'
'-x+1/2,-y+1/2,-z'
'-x+1/2,y+1/2,-z'
'x+1/2,-y+1/2,z'
loop_
_atom_site_label
_atom_site_type_symbol
_atom_site_fract_x
_atom_site_fract_y
_atom_site_fract_z
K1 K 0.1397 0.0000 0.0683
Nd1 Nd 0.1625 0.0000 0.5874
Re1 Re 0.0046 0.5000 0.3321
N1 N 0.0095 0.0000 0.3287
N2 N 0.1323 0.5000 0.7924
N3 N 0.1539 0.5000 0.3680



# CaSc2Ru, relaxed, DFT PBE
# - Fermi-level density of states: 1.82 states/eV/f.u.
# - Total magnetization: 0.00 μB per cell
# - Crystal system: tetragonal
# - Mass density: 4.00 g cm⁻³
# - Final energy: -6.2724 eV/atom
data_CaSc2Ru
_chemical_formula_sum 'Ca1 Sc2 Ru1'
_cell_length_a 3.2834
_cell_length_b 3.2834
_cell_length_c 8.8879
_cell_angle_alpha 90.00
_cell_angle_beta 90.00
_cell_angle_gamma 90.00
_space_group_name_H-M_alt 'P 4/m m m'
_space_group_IT_number 123
_space_group_name_Hall '-P 4 2'
loop_
_atom_site_label
_atom_site_type_symbol
_atom_site_fract_x
_atom_site_fract_y
_atom_site_fract_z
Ca1 Ca 0.0000 0.0000 0.0000
Sc1 Sc 0.5000 0.5000 0.3294
Ru1 Ru 0.0000 0.0000 0.5000



# LaNiCl2, relaxed, DFT PBE
# - Fermi-level density of states: 4.48 states/eV/f.u.
# - Total magnetization: 3.97 μB per cell
# - Energy relative to the elements, uncorrected: -0.8471 eV per atom
# - Crystal system: cubic
# - Mass density: 5.38 g cm⁻³
data_LaNiCl2
_chemical_formula_sum 'La4 Ni4 Cl8'
_cell_length_a 6.9198
_cell_length_b 6.9198
_cell_length_c 6.9198
_cell_angle_alpha 90.00
_cell_angle_beta 90.00
_cell_angle_gamma 90.00
_space_group_name_H-M_alt 'F m -3 m'
_space_group_IT_number 225
_space_group_name_Hall '-F 4 2 3'
loop_
_atom_site_label
_atom_site_type_symbol
_atom_site_fract_x
_atom_site_fract_y
_atom_site_fract_z
La1 La 0.0000 0.0000 0.0000
Ni1 Ni 0.0000 0.0000 0.5000
Cl1 Cl 0.2500 0.2500 0.2500



# Pa3Co3B2, relaxed, DFT PBE
# - Fermi-level density of states: 8.63 states/eV/f.u.
# - Total magnetization: 0.00 μB per cell
# - Crystal system: triclinic
# - Mass density: 12.58 g cm⁻³
# - Final energy: -8.2247 eV/atom
data_Pa3Co3B2
_chemical_formula_sum 'Pa3 Co3 B2'
_cell_length_a 3.3254
_cell_length_b 5.2406
_cell_length_c 6.9504
_cell_angle_alpha 91.25
_cell_angle_beta 103.70
_cell_angle_gamma 90.03
_space_group_name_H-M_alt 'P -1'
_space_group_IT_number 2
loop_
_space_group_symop_operation_xyz
'x,y,z'
'-x,-y,-z'
loop_
_atom_site_label
_atom_site_type_symbol
_atom_site_fract_x
_atom_site_fract_y
_atom_site_fract_z
Pa1 Pa 0.0000 0.0000 0.0000
Pa2 Pa 0.1570 0.5702 0.3132
Co1 Co 0.3620 0.8711 0.7261
Co2 Co 0.5000 0.5000 0.0000
B1 B 0.2382 0.0759 0.4761